Record 1
# Co2PCl

A relaxed structure of Co2PCl (PBE, the Alexandria database).

abc: 4.120 4.120 4.120
angles: 60.00 60.00 60.00
Fractional coordinates of all 4 atoms:
P: 0.000 0.000 0.000
Co: 0.250 0.250 0.250
Co: 0.750 0.750 0.750
Cl: 0.500 0.500 0.500

The calculation puts the electronic total energy at -4.96 eV per atom. For the uncorrected formation energy, the calculation gives 0.41 eV/atom. The calculation puts the magnetization at 1.34 μB per formula unit. The offset from the most stable computed form is 628 meV/atom.

=====

Record 2
# CoPCl2

A relaxed structure of CoPCl2 (PBE, the Alexandria database).

abc: 8.982 8.982 6.697
angles: 47.88 47.88 90.00
Fractional coordinates of all 8 atoms:
P: 0.500 0.500 0.000
P: 0.250 0.750 0.500
Co: 0.000 0.000 0.000
Co: 0.750 0.250 0.500
Cl: 0.799 0.125 0.250
Cl: 0.951 0.625 0.250
Cl: 0.375 0.201 0.750
Cl: 0.875 0.049 0.750

The calculation puts the electronic total energy at -4.01 eV per atom. For the uncorrected formation energy, the calculation gives 0.04 eV/atom. The calculation puts the magnetization at 0.96 μB per formula unit. The offset from the most stable computed form is 627 meV/atom.

=====

Record 3
# CoP2Cl

A relaxed structure of CoP2Cl (PBE, the Alexandria database).

abc: 5.578 5.578 6.563
angles: 64.85 64.85 90.00
Fractional coordinates of all 8 atoms:
P: 0.742 0.125 0.250
P: 0.008 0.625 0.250
P: 0.375 0.258 0.750
P: 0.875 0.992 0.750
Co: 0.000 0.000 0.000
Co: 0.750 0.250 0.500
Cl: 0.500 0.500 0.000
Cl: 0.250 0.750 0.500

The calculation puts the electronic total energy at -4.87 eV per atom. For the uncorrected formation energy, the calculation gives 0.07 eV/atom. The calculation puts the magnetization at 0.00 μB per formula unit. The offset from the most stable computed form is 257 meV/atom.

=====

no.,volume (Å³ per cell)
1,49.45
2,171.22
3,163.20